VASP calculation (PBE with a Hubbard U) on a geometry-optimized AlVIO2 structure.

Structure (POSCAR):
```
AlVIO2
1.0
3.9432 0.0000 0.0000
0.0000 3.9432 0.0000
0.0000 0.0000 5.6533
Al V I O
1 1 1 2
Cartesian
0.0000 0.0000 0.0000
1.9716 1.9716 2.8267
1.9716 1.9716 0.0000
0.0000 1.9716 2.8267
1.9716 0.0000 2.8267
```

Energy relative to the lowest polymorph listed for this composition ... 0.205 eV/atom
Mass density ... 4.47 g cm⁻³
Raw total energy ... -5.107 eV/atom
Total magnetization ... 1.314 μB per formula unit